1) Computed, not measured: a geometry-optimized Dy4Er7In structure at the GGA-PBE level of DFT.

## Properties
The value obtained for the total magnetization is 0.0 Bohr magnetons per cell. The space group is No. 12.

a = 5.6185 Å, b = 12.4884 Å, c = 6.5607 Å
α = 99.97°, β = 64.65°, γ = 77.00°
Fractional positions:
In  0.0000  0.0000  0.0000
Er  0.3334  0.5285  0.8048
Er  0.9995  0.3915  0.6095
Er  0.1402  0.1106  0.6090
Dy  0.6416  0.7179  0.9988
Er  0.6666  0.4715  0.1952
Er  0.0005  0.6085  0.3905
Er  0.8598  0.8894  0.3910
Er  0.5000  0.0000  0.0000
Dy  0.3584  0.2821  0.0012
Dy  0.6918  0.2312  0.3851
Dy  0.3082  0.7688  0.6149



2) Computed, not measured: a geometry-optimized Dy4Er7In structure at the GGA-PBE level of DFT.

## Properties
The value obtained for the total magnetization is 0.0 Bohr magnetons per cell. The space group is No. 12.

a = 6.3113 Å, b = 5.4813 Å, c = 11.3874 Å
α = 76.06°, β = 79.47°, γ = 90.00°
Fractional positions:
Er  0.5673  0.2105  0.5790
Er  0.1900  0.4526  0.0944
Er  0.5000  0.0000  0.0000
Dy  0.8916  0.7088  0.5825
Er  0.8100  0.5474  0.9056
Er  0.4327  0.7895  0.4210
Dy  0.3488  0.6165  0.7674
In  0.0000  0.0000  0.0000
Dy  0.6512  0.3835  0.2326
Er  0.0031  0.1361  0.7283
Dy  0.1084  0.2912  0.4175
Er  0.9969  0.8639  0.2717



The structure with the most favorable energy is 2); the runner-up is 134 meV/atom above it.



1) Computed, not measured: a geometry-optimized Dy6Er8In structure at the GGA-PBE level of DFT.

## Properties
The value obtained for the total magnetization is 0.0 Bohr magnetons per cell. The space group is No. 148.

a = 8.9256 Å, b = 8.9256 Å, c = 8.4239 Å
α = 58.01°, β = 58.01°, γ = 60.00°
Fractional positions:
Er  0.8911  0.2538  0.5719
Dy  0.2289  0.5486  0.1155
In  0.0000  0.0000  0.0000
Dy  0.5486  0.1070  0.1155
Er  0.7168  0.1089  0.4281
Dy  0.8930  0.7711  0.8845
Er  0.2832  0.8911  0.5719
Er  0.5759  0.5759  0.2722
Dy  0.1070  0.2289  0.1155
Dy  0.4514  0.8930  0.8845
Er  0.7462  0.7168  0.4281
Dy  0.7711  0.4514  0.8845
Er  0.2538  0.2832  0.5719
Er  0.1089  0.7462  0.4281
Er  0.4241  0.4241  0.7278



2) Computed, not measured: a geometry-optimized Dy6Er8In structure at the GGA-PBE level of DFT.

## Properties
The value obtained for the total magnetization is 0.0 Bohr magnetons per cell. The space group is No. 147.

a = 6.6546 Å, b = 9.1191 Å, c = 9.1191 Å
α = 120.00°, β = 90.00°, γ = 90.00°
Fractional positions:
Er  0.1825  0.6667  0.3333
Dy  0.6033  0.3980  0.3178
Dy  0.3967  0.6020  0.6822
Dy  0.3967  0.3178  0.9198
Dy  0.6033  0.9198  0.6020
Er  0.8175  0.3333  0.6667
Er  0.8893  0.6875  0.6722
Er  0.8893  0.9848  0.3125
Dy  0.3967  0.0802  0.3980
Er  0.1107  0.0152  0.6875
In  0.5000  0.0000  0.0000
Dy  0.6033  0.6822  0.0802
Er  0.1107  0.6722  0.9848
Er  0.1107  0.3125  0.3278
Er  0.8893  0.3278  0.0152



The structure with the most favorable energy is 1); the runner-up is 175 meV/atom above it.



1) Computed, not measured: a geometry-optimized DyErIn4 structure at the GGA-PBE level of DFT.

## Properties
The value obtained for the total magnetization is 0.0 Bohr magnetons per cell. The space group is No. 38.

a = 5.0181 Å, b = 5.0180 Å, c = 8.5867 Å
α = 73.07°, β = 73.07°, γ = 120.12°
Fractional positions:
In  0.0676  0.3965  0.7656
Er  0.5016  0.4970  0.9981
Dy  0.0008  0.9978  0.4981
In  0.6009  0.9298  0.2320
In  0.4299  0.0927  0.7363
In  0.9071  0.5699  0.2588



2) Computed, not measured: a geometry-optimized DyErIn4 structure at the GGA-PBE level of DFT.

## Properties
The value obtained for the total magnetization is 0.0 Bohr magnetons per cell. The space group is No. 216.

a = 5.9809 Å, b = 5.9809 Å, c = 5.9809 Å
α = 60.00°, β = 60.00°, γ = 60.00°
Fractional positions:
Dy  0.2500  0.2500  0.2500
In  0.6250  0.6250  0.1250
Er  0.0000  0.0000  0.0000
In  0.1250  0.6250  0.6250
In  0.6250  0.1250  0.6250
In  0.6250  0.6250  0.6250



The structure with the most favorable energy is 1); the runner-up is 76 meV/atom above it.



1) Computed, not measured: a geometry-optimized DyEr3In3 structure at the GGA-PBE level of DFT.

## Properties
The value obtained for the total magnetization is 0.0 Bohr magnetons per cell. The space group is No. 176.

a = 5.1443 Å, b = 9.2657 Å, c = 9.2657 Å
α = 120.00°, β = 90.00°, γ = 90.00°
Fractional positions:
In  0.2500  0.0724  0.6179
Er  0.2500  0.2324  0.0038
Er  0.2500  0.7714  0.7676
Dy  0.2500  0.6667  0.3333
Dy  0.7500  0.3333  0.6667
Er  0.7500  0.0038  0.7714
In  0.7500  0.4545  0.0724
Er  0.2500  0.9962  0.2286
In  0.2500  0.5455  0.9276
In  0.7500  0.9276  0.3821
In  0.2500  0.3821  0.4545
Er  0.7500  0.2286  0.2324
In  0.7500  0.6179  0.5455
Er  0.7500  0.7676  0.9962



2) Computed, not measured: a geometry-optimized DyEr3In3 structure at the GGA-PBE level of DFT.

## Properties
The value obtained for the total magnetization is 0.0 Bohr magnetons per cell. The space group is No. 198.

a = 9.2587 Å, b = 9.2587 Å, c = 9.2587 Å
α = 90.00°, β = 90.00°, γ = 90.00°
Fractional positions:
In  0.2560  0.1227  0.4987
In  0.6227  0.0013  0.7440
Er  0.4195  0.5805  0.0805
In  0.4987  0.2560  0.1227
In  0.5013  0.7560  0.3773
Dy  0.5708  0.9292  0.0708
In  0.9987  0.2440  0.8773
Dy  0.0708  0.5708  0.9292
Er  0.8245  0.3245  0.1755
Er  0.6755  0.6755  0.6755
Er  0.6761  0.3239  0.8239
Dy  0.9292  0.0708  0.5708
Er  0.1755  0.8245  0.3245
Er  0.8239  0.6761  0.3239
In  0.2440  0.8773  0.9987
In  0.1227  0.4987  0.2560
In  0.7560  0.3773  0.5013
Er  0.9195  0.9195  0.9195
Er  0.5805  0.0805  0.4195
Dy  0.4292  0.4292  0.4292
In  0.8773  0.9987  0.2440
In  0.3773  0.5013  0.7560
Er  0.3239  0.8239  0.6761
In  0.7440  0.6227  0.0013
Er  0.0805  0.4195  0.5805
Er  0.1761  0.1761  0.1761
Er  0.3245  0.1755  0.8245
In  0.0013  0.7440  0.6227



The structure with the most favorable energy is 1); the runner-up is 35 meV/atom above it.



1) Computed, not measured: a geometry-optimized NdDyErIn structure at the GGA-PBE level of DFT.

## Properties
The value obtained for the total magnetization is 1.4 Bohr magnetons per cell. The space group is No. 216.

a = 5.4780 Å, b = 5.4780 Å, c = 5.4807 Å
α = 119.98°, β = 119.98°, γ = 90.00°
Fractional positions:
In  0.2500  0.7500  0.5000
Er  0.5000  0.5000  0.0000
Dy  0.0000  0.0000  0.0000
Nd  0.7500  0.2500  0.5000



2) Computed, not measured: a geometry-optimized NdDyErIn structure at the GGA-PBE level of DFT.

## Properties
The value obtained for the total magnetization is 0.8 Bohr magnetons per cell. The space group is No. 216.

a = 5.4930 Å, b = 5.4930 Å, c = 5.4930 Å
α = 60.00°, β = 60.00°, γ = 60.00°
Fractional positions:
In  0.7500  0.7500  0.7500
Er  0.2500  0.2500  0.2500
Nd  0.0000  0.0000  0.0000
Dy  0.5000  0.5000  0.5000



The structure with the most favorable energy is 2); the runner-up is 54 meV/atom above it.



1) Computed, not measured: a geometry-optimized DyErInPb structure at the GGA-PBE level of DFT.

## Properties
The value obtained for the total magnetization is 0.0 Bohr magnetons per cell. The space group is No. 216.

a = 5.3723 Å, b = 5.3723 Å, c = 5.3723 Å
α = 60.00°, β = 60.00°, γ = 60.00°
Fractional positions:
Pb  0.7500  0.7500  0.7500
Er  0.0000  0.0000  0.0000
In  0.2500  0.2500  0.2500
Dy  0.5000  0.5000  0.5000



2) Computed, not measured: a geometry-optimized DyErInPb structure at the GGA-PBE level of DFT.

## Properties
The value obtained for the total magnetization is 0.0 Bohr magnetons per cell. The space group is No. 119.

a = 4.9618 Å, b = 4.9618 Å, c = 5.6326 Å
α = 116.14°, β = 116.13°, γ = 90.00°
Fractional positions:
Er  0.2499  0.7498  0.4999
Pb  0.5000  0.5001  0.0001
In  0.0000  0.0001  0.0000
Dy  0.7500  0.2501  0.5000



The structure with the most favorable energy is 2); the runner-up is 44 meV/atom above it.



1) Computed, not measured: a geometry-optimized PrDyErIn structure at the GGA-PBE level of DFT.

## Properties
The value obtained for the total magnetization is 1.5 Bohr magnetons per cell. The space group is No. 216.

a = 5.4920 Å, b = 5.4920 Å, c = 5.4928 Å
α = 120.00°, β = 120.00°, γ = 90.00°
Fractional positions:
Er  0.0000  0.0000  0.0000
In  0.2500  0.7500  0.5000
Pr  0.7500  0.2500  0.5000
Dy  0.5000  0.5000  0.0000



2) Computed, not measured: a geometry-optimized PrDyErIn structure at the GGA-PBE level of DFT.

## Properties
The value obtained for the total magnetization is 0.9 Bohr magnetons per cell. The space group is No. 216.

a = 5.5085 Å, b = 5.5085 Å, c = 5.5085 Å
α = 60.00°, β = 60.00°, γ = 60.00°
Fractional positions:
Pr  0.2500  0.2500  0.2500
Dy  0.7500  0.7500  0.7500
In  0.0000  0.0000  0.0000
Er  0.5000  0.5000  0.5000



The structure with the most favorable energy is 2); the runner-up is 59 meV/atom above it.



1) Computed, not measured: a geometry-optimized SmDyErIn structure at the GGA-PBE level of DFT.

## Properties
The value obtained for the total magnetization is 0.9 Bohr magnetons per cell. The space group is No. 216.

a = 5.4685 Å, b = 5.4685 Å, c = 5.4685 Å
α = 60.00°, β = 60.00°, γ = 60.00°
Fractional positions:
Er  0.5000  0.5000  0.5000
Dy  0.2500  0.2500  0.2500
Sm  0.7500  0.7500  0.7500
In  0.0000  0.0000  0.0000



2) Computed, not measured: a geometry-optimized SmDyErIn structure at the GGA-PBE level of DFT.

## Properties
The value obtained for the total magnetization is 1.4 Bohr magnetons per cell. The space group is No. 216.

a = 5.4592 Å, b = 5.4592 Å, c = 5.4606 Å
α = 119.99°, β = 119.99°, γ = 90.00°
Fractional positions:
Er  0.5000  0.5000  0.0000
Sm  0.7500  0.2500  0.5000
In  0.2500  0.7500  0.5000
Dy  0.0000  0.0000  0.0000



The structure with the most favorable energy is 1); the runner-up is 42 meV/atom above it.



1) Computed, not measured: a geometry-optimized DyErZnIn structure at the GGA-PBE level of DFT.

## Properties
The value obtained for the total magnetization is 0.0 Bohr magnetons per cell. The space group is No. 99.

a = 3.6234 Å, b = 3.6234 Å, c = 7.4053 Å
α = 90.00°, β = 90.00°, γ = 90.00°
Fractional positions:
Zn  0.5000  0.5000  0.6028
Er  0.0000  0.0000  0.3772
Dy  0.0000  0.0000  0.8378
In  0.5000  0.5000  0.1101



2) Computed, not measured: a geometry-optimized DyErZnIn structure at the GGA-PBE level of DFT.

## Properties
The value obtained for the total magnetization is 0.0 Bohr magnetons per cell. The space group is No. 216.

a = 5.1744 Å, b = 5.1744 Å, c = 5.1744 Å
α = 60.00°, β = 60.00°, γ = 60.00°
Fractional positions:
Er  0.2500  0.2500  0.2500
In  0.5000  0.5000  0.5000
Zn  0.0000  0.0000  0.0000
Dy  0.7500  0.7500  0.7500



The structure with the most favorable energy is 1); the runner-up is 22 meV/atom above it.



1) Computed, not measured: a geometry-optimized DyErTlIr structure at the GGA-PBE level of DFT.

## Properties
The value obtained for the total magnetization is 0.0 Bohr magnetons per cell. The space group is No. 216.

a = 5.0755 Å, b = 5.0755 Å, c = 5.0755 Å
α = 60.00°, β = 60.00°, γ = 60.00°
Fractional positions:
Dy  0.7500  0.7500  0.7500
Er  0.2500  0.2500  0.2500
Ir  0.0000  0.0000  0.0000
Tl  0.5000  0.5000  0.5000



2) Computed, not measured: a geometry-optimized DyErTlIr structure at the GGA-PBE level of DFT.

## Properties
The value obtained for the total magnetization is 0.0 Bohr magnetons per cell. The space group is No. 99.

a = 3.4486 Å, b = 3.4486 Å, c = 8.0349 Å
α = 90.00°, β = 90.00°, γ = 90.00°
Fractional positions:
Ir  0.0000  0.0000  0.5681
Dy  0.5000  0.5000  0.7766
Tl  0.0000  0.0000  0.0737
Er  0.5000  0.5000  0.3664



The structure with the most favorable energy is 2); the runner-up is 126 meV/atom above it.



1) Computed, not measured: a geometry-optimized LaDy9Er2 structure at the GGA-PBE level of DFT.

## Properties
The value obtained for the total magnetization is 0.0 Bohr magnetons per cell. The space group is No. 191.

a = 3.5196 Å, b = 11.2471 Å, c = 11.2471 Å
α = 120.00°, β = 90.00°, γ = 90.00°
Fractional positions:
Er  0.0000  0.3333  0.6667
Er  0.0000  0.6667  0.3333
La  0.0000  0.0000  0.0000
Dy  0.5000  0.1794  0.3588
Dy  0.0000  0.5000  0.0000
Dy  0.5000  0.8206  0.1794
Dy  0.0000  0.5000  0.5000
Dy  0.5000  0.8206  0.6412
Dy  0.5000  0.1794  0.8206
Dy  0.5000  0.3588  0.1794
Dy  0.5000  0.6412  0.8206
Dy  0.0000  0.0000  0.5000



2) Computed, not measured: a geometry-optimized LaDy9Er2 structure at the GGA-PBE level of DFT.

## Properties
The value obtained for the total magnetization is 0.0 Bohr magnetons per cell. The space group is No. 123.

a = 5.0254 Å, b = 5.0254 Å, c = 15.1097 Å
α = 90.00°, β = 90.00°, γ = 90.00°
Fractional positions:
Dy  0.5000  0.0000  0.8291
Dy  0.5000  0.5000  0.0000
Dy  0.0000  0.5000  0.1709
Dy  0.5000  0.5000  0.3361
Dy  0.5000  0.0000  0.5000
La  0.0000  0.0000  0.0000
Dy  0.0000  0.5000  0.5000
Dy  0.0000  0.5000  0.8291
Er  0.0000  0.0000  0.6652
Dy  0.5000  0.5000  0.6639
Dy  0.5000  0.0000  0.1709
Er  0.0000  0.0000  0.3348



The structure with the most favorable energy is 2); the runner-up is 6 meV/atom above it.



1) Computed, not measured: a geometry-optimized La8Dy2Er structure at the GGA-PBE level of DFT.

## Properties
The value obtained for the total magnetization is 0.0 Bohr magnetons per cell. The space group is No. 12.

a = 6.0654 Å, b = 9.6031 Å, c = 9.6031 Å
α = 122.34°, β = 105.56°, γ = 105.56°
Fractional positions:
La  0.1834  0.3329  0.0953
La  0.7013  0.4197  0.4197
Dy  0.0000  0.3111  0.6889
Er  0.5000  0.0000  0.0000
Dy  0.0000  0.6889  0.3111
La  0.5000  0.2057  0.7943
La  0.8166  0.9047  0.6671
La  0.1834  0.0953  0.3329
La  0.8166  0.6671  0.9047
La  0.2987  0.5803  0.5803
La  0.5000  0.7943  0.2057



2) Computed, not measured: a geometry-optimized La8Dy2Er structure at the GGA-PBE level of DFT.

## Properties
The value obtained for the total magnetization is 0.0 Bohr magnetons per cell. The space group is No. 12.

a = 5.2186 Å, b = 8.2317 Å, c = 9.7062 Å
α = 104.65°, β = 105.59°, γ = 90.00°
Fractional positions:
La  0.8629  0.8152  0.7259
Dy  0.2265  0.6344  0.4530
La  0.9530  0.2723  0.9060
La  0.0470  0.7277  0.0940
La  0.6814  0.9121  0.3628
Dy  0.7735  0.3656  0.5470
La  0.4083  0.5470  0.8166
La  0.3186  0.0879  0.6372
La  0.1371  0.1848  0.2741
La  0.5917  0.4530  0.1834
Er  0.5000  0.0000  0.0000



The structure with the most favorable energy is 2); the runner-up is 106 meV/atom above it.